Computed, not measured: a geometry-optimized MgPtSeO structure at the PBE-GGA level of DFT.

The structure belongs to space group P4/nmm (No. 129, origin choice 2); the cell edges are 3.6798, 3.6798 and 9.6530 Å and the angles 90.00°, 90.00° and 90.00°. The distinct sites, in fractional coordinates, are Mg at (0.2500, 0.2500, 0.1195), Pt at (0.2500, 0.2500, 0.7129), Se at (0.2500, 0.7500, 0.5000) and O at (0.2500, 0.2500, 0.9214).

The value obtained for the energy relative to the lowest polymorph listed for this composition is 677 meV per atom.